The following is a DFT calculation (meta-GGA SCAN) of a PBEsol-optimized structure of CaMg2Au2.

Cell and atoms, written as POSCAR:
```
CaMg2Au2
1.0
7.570 0.000 0.000
0.000 7.570 0.000
0.000 0.000 3.673
Ca Mg Au
2 4 4
Direct
0.000 0.000 0.000
0.500 0.500 0.000
0.154 0.346 0.500
0.346 0.846 0.500
0.654 0.154 0.500
0.846 0.654 0.500
0.137 0.637 0.000
0.363 0.137 0.000
0.637 0.863 0.000
0.863 0.363 0.000
```

Summary:
offset from the most stable computed form = 120 meV per atom
ΔH_f (0 K) = -0.69 eV per atom
calculated total energy = -322.7 eV for the cell shown
symmetry = P4/mbm


The following is a DFT calculation (meta-GGA SCAN) of a PBEsol-optimized structure of YTa2Au.

Cell and atoms, written as POSCAR:
```
YTa2Au
1.0
2.809 -5.011 0.000
2.809 5.011 0.000
-1.083 0.000 2.737
Y Ta Au
1 2 1
Direct
0.000 0.000 0.000
0.000 0.500 0.500
0.500 0.000 0.500
0.500 0.500 0.000
```

Summary:
offset from the most stable computed form = 135 meV per atom
ΔH_f (0 K) = 0.15 eV per atom
calculated total energy = -229.6 eV for the cell shown
symmetry = C2/m


The following is a DFT calculation (meta-GGA SCAN) of a PBEsol-optimized structure of ZrIr2Cl.

Cell and atoms, written as POSCAR:
```
ZrIr2Cl
1.0
-1.879 1.879 4.579
1.879 -1.879 4.579
1.879 1.879 -4.579
Zr Ir Cl
1 2 1
Direct
0.000 0.000 0.000
0.250 0.750 0.500
0.750 0.250 0.500
0.500 0.500 0.000
```

Summary:
formation energy (no corrections) = -0.07 eV/atom
calculated total energy = -181.2 eV for the cell shown
symmetry = I4/mmm